1.
Na2CaHgAs: relaxed, PBE.

The structure in POSCAR format:
```
Na2CaHgAs
1.0
5.5225 0.0000 0.0000
0.0000 5.5225 0.0000
0.0000 0.0000 5.6582
Na Ca Hg As
2 1 1 1
Direct
0.0000 0.5000 0.0000
0.5000 0.0000 0.0000
0.0000 0.0000 0.5000
0.5000 0.5000 0.5000
0.0000 0.0000 0.0000
```

Computed properties:
space group = P4/mmm
E_tot = -2.29 eV/atom
calculated volume = 172.6 Å³/f.u.
N(E_F) = 0.64 states/eV per atom

---

2.
CaHgAsO4: relaxed, PBE.

The structure in POSCAR format:
```
CaHgAsO4
1.0
-3.0067 3.6449 4.7039
3.0067 -3.6449 4.7039
3.0067 3.6449 -4.7039
Ca Hg As O
2 2 2 8
Direct
0.0000 0.0000 0.0000
0.5000 0.0000 0.5000
0.5000 0.0000 0.0000
0.5000 0.5000 0.5000
0.1166 0.3666 0.7500
0.8834 0.6334 0.2500
0.1828 0.7365 0.4463
0.2098 0.2635 0.9463
0.2264 0.2402 0.5137
0.2264 0.7127 0.9863
0.7736 0.2873 0.0137
0.7736 0.7598 0.4863
0.7902 0.7365 0.0537
0.8172 0.2635 0.5537
```

Computed properties:
space group = Imma
calculated volume = 103.1 Å³/f.u.
N(E_F) = 0.24 states/eV per atom
raw formation energy = -1.4908 eV/atom

---

3.
Ca3Hg3AsO8: relaxed, PBE.

The structure in POSCAR format:
```
Ca3Hg3AsO8
1.0
5.9244 -3.4186 0.0000
5.9244 3.4186 0.0000
-3.9312 0.0000 5.6516
Ca Hg As O
3 3 1 8
Direct
0.0000 0.0000 0.0000
0.0000 0.5000 0.0000
0.5000 0.0000 0.0000
0.0000 0.5000 0.5000
0.5000 0.0000 0.5000
0.5000 0.5000 0.5000
0.5000 0.5000 0.0000
0.2383 0.2383 0.2160
0.2939 0.6967 0.1883
0.3031 0.3031 0.8114
0.3033 0.7061 0.8117
0.6967 0.2939 0.1883
0.6969 0.6969 0.1886
0.7061 0.3033 0.8117
0.7617 0.7617 0.7840
```

Computed properties:
space group = C2/m
calculated volume = 228.9 Å³/f.u.
N(E_F) = 0.19 states/eV per atom
raw formation energy = -1.5077 eV/atom

---

4.
CaHgAs2O6: relaxed, PBE.

The structure in POSCAR format:
```
CaHgAs2O6
1.0
6.1111 -6.2406 0.0000
6.1111 6.2406 0.0000
-1.0849 0.0000 4.8965
Ca Hg As O
2 2 4 12
Direct
0.2493 0.7507 0.7500
0.7507 0.2493 0.2500
0.4258 0.5742 0.2500
0.5742 0.4258 0.7500
0.1362 0.3060 0.6007
0.3060 0.1362 0.1007
0.6940 0.8638 0.8993
0.8638 0.6940 0.3993
0.0450 0.7636 0.4163
0.1824 0.4925 0.7250
0.1839 0.2733 0.2583
0.2364 0.9550 0.0837
0.2733 0.1839 0.7583
0.4925 0.1824 0.2250
0.5075 0.8176 0.7750
0.7267 0.8161 0.2417
0.7636 0.0450 0.9163
0.8161 0.7267 0.7417
0.8176 0.5075 0.2750
0.9550 0.2364 0.5837
```

Computed properties:
space group = C2/c
calculated volume = 186.7 Å³/f.u.
N(E_F) = 0.00 states/eV per atom
raw formation energy = -1.4094 eV/atom

---

5.
CaHg2AsO4: relaxed, PBE.

The structure in POSCAR format:
```
CaHg2AsO4
1.0
5.9813 0.0000 0.0000
0.0000 5.9813 0.0000
0.0000 0.0000 8.7094
Ca Hg As O
2 4 2 8
Direct
0.0000 0.0000 0.0000
0.5000 0.5000 0.5000
0.0000 0.0000 0.5000
0.0000 0.5000 0.7500
0.5000 0.0000 0.2500
0.5000 0.5000 0.0000
0.0000 0.5000 0.2500
0.5000 0.0000 0.7500
0.1202 0.7019 0.1352
0.2019 0.3798 0.3648
0.2981 0.1202 0.8648
0.3798 0.7981 0.6352
0.6202 0.2019 0.6352
0.7019 0.8798 0.8648
0.7981 0.6202 0.3648
0.8798 0.2981 0.1352
```

Computed properties:
space group = I-4
calculated volume = 155.8 Å³/f.u.
N(E_F) = 0.67 states/eV per atom
raw formation energy = -1.2721 eV/atom

---

6.
CaHgAsPb: relaxed, PBE.

The structure in POSCAR format:
```
CaHgAsPb
1.0
7.4880 0.0000 0.0000
0.0000 7.4880 0.0000
0.0000 0.0000 7.4880
Ca Hg As Pb
4 4 4 4
Direct
0.0000 0.0000 0.0000
0.0000 0.5000 0.5000
0.5000 0.0000 0.5000
0.5000 0.5000 0.0000
0.2500 0.2500 0.7500
0.2500 0.7500 0.2500
0.7500 0.2500 0.2500
0.7500 0.7500 0.7500
0.2500 0.2500 0.2500
0.2500 0.7500 0.7500
0.7500 0.2500 0.7500
0.7500 0.7500 0.2500
0.0000 0.0000 0.5000
0.0000 0.5000 0.0000
0.5000 0.0000 0.0000
0.5000 0.5000 0.5000
```

Computed properties:
space group = F-43m
E_tot = -3.02 eV/atom
calculated volume = 105.0 Å³/f.u.
N(E_F) = 0.79 states/eV per atom

---

7.
Ca2HgAs3Pd4: relaxed, PBE.

The structure in POSCAR format:
```
Ca2HgAs3Pd4
1.0
4.2875 0.0000 0.0000
0.0000 4.2875 0.0000
0.0000 0.0000 10.9557
Ca Hg As Pd
2 1 3 4
Direct
0.0000 0.5000 0.2384
0.5000 0.0000 0.7616
0.0000 0.0000 0.5000
0.0000 0.5000 0.8726
0.5000 0.0000 0.1274
0.5000 0.5000 0.5000
0.0000 0.0000 0.0000
0.0000 0.5000 0.6532
0.5000 0.0000 0.3468
0.5000 0.5000 0.0000
```

Computed properties:
space group = P-4m2
E_tot = -4.55 eV/atom
calculated volume = 201.4 Å³/f.u.
N(E_F) = 0.42 states/eV per atom

---

8.
CaHgAs2Pd: relaxed, PBE.

The structure in POSCAR format:
```
CaHgAs2Pd
1.0
5.1689 0.0000 0.0000
0.0000 5.1689 0.0000
0.0000 0.0000 5.1060
Ca Hg As Pd
1 1 2 1
Direct
0.0000 0.0000 0.0000
0.5000 0.5000 0.5000
0.0000 0.5000 0.5000
0.5000 0.0000 0.5000
0.5000 0.5000 0.0000
```

Computed properties:
space group = P4/mmm
E_tot = -3.11 eV/atom
calculated volume = 136.4 Å³/f.u.
N(E_F) = 0.94 states/eV per atom

---

What did the third record say?
Ca3Hg3AsO8: relaxed, PBE.

The structure in POSCAR format:
```
Ca3Hg3AsO8
1.0
5.9244 -3.4186 0.0000
5.9244 3.4186 0.0000
-3.9312 0.0000 5.6516
Ca Hg As O
3 3 1 8
Direct
0.0000 0.0000 0.0000
0.0000 0.5000 0.0000
0.5000 0.0000 0.0000
0.0000 0.5000 0.5000
0.5000 0.0000 0.5000
0.5000 0.5000 0.5000
0.5000 0.5000 0.0000
0.2383 0.2383 0.2160
0.2939 0.6967 0.1883
0.3031 0.3031 0.8114
0.3033 0.7061 0.8117
0.6967 0.2939 0.1883
0.6969 0.6969 0.1886
0.7061 0.3033 0.8117
0.7617 0.7617 0.7840
```

Computed properties:
space group = C2/m
calculated volume = 228.9 Å³/f.u.
N(E_F) = 0.19 states/eV per atom
raw formation energy = -1.5077 eV/atom

---

Copy entry 4 word for word.
CaHgAs2O6: relaxed, PBE.

The structure in POSCAR format:
```
CaHgAs2O6
1.0
6.1111 -6.2406 0.0000
6.1111 6.2406 0.0000
-1.0849 0.0000 4.8965
Ca Hg As O
2 2 4 12
Direct
0.2493 0.7507 0.7500
0.7507 0.2493 0.2500
0.4258 0.5742 0.2500
0.5742 0.4258 0.7500
0.1362 0.3060 0.6007
0.3060 0.1362 0.1007
0.6940 0.8638 0.8993
0.8638 0.6940 0.3993
0.0450 0.7636 0.4163
0.1824 0.4925 0.7250
0.1839 0.2733 0.2583
0.2364 0.9550 0.0837
0.2733 0.1839 0.7583
0.4925 0.1824 0.2250
0.5075 0.8176 0.7750
0.7267 0.8161 0.2417
0.7636 0.0450 0.9163
0.8161 0.7267 0.7417
0.8176 0.5075 0.2750
0.9550 0.2364 0.5837
```

Computed properties:
space group = C2/c
calculated volume = 186.7 Å³/f.u.
N(E_F) = 0.00 states/eV per atom
raw formation energy = -1.4094 eV/atom